The following is a DFT calculation (PBE) of a geometry-optimized Ca2LuMg structure.

Values from the calculation:
The energy above the lowest structure with this stoichiometry is 0.00 eV/f.u. For the calculated volume, the calculation gives 131.6 Å³ per cell. The value obtained for the formation energy is 0.09 eV per atom. Its final energy is -2.438 eV/atom.

Cell and atoms, written as CIF:
```
data_Ca2LuMg
_chemical_formula_sum 'Ca2 Lu1 Mg1'
_symmetry_space_group_name_H-M 'P 4/m m m'
_symmetry_Int_Tables_number 123
_symmetry_space_group_name_Hall '-P 4 2'
_cell_length_a 5.032
_cell_length_b 5.032
_cell_length_c 5.196
_cell_angle_alpha 90.00
_cell_angle_beta 90.00
_cell_angle_gamma 90.00
loop_
_atom_site_label
_atom_site_type_symbol
_atom_site_fract_x
_atom_site_fract_y
_atom_site_fract_z
Ca1 Ca 0.000 0.500 0.000
Lu1 Lu 0.000 0.000 0.500
Mg1 Mg 0.500 0.500 0.500
```

=====

The following is a DFT calculation (PBE) of a geometry-optimized K2InBO4 structure.

Values from the calculation:
The uncorrected formation energy is -12.8 eV per formula unit. For the calculated volume, the calculation gives 1220.4 Å³ per cell. Its final energy is -5.535 eV/atom.

Cell and atoms, written as CIF:
```
data_K2InBO4
_chemical_formula_sum 'K16 In8 B8 O32'
_symmetry_space_group_name_H-M 'F d d d'
_symmetry_Int_Tables_number 70
_cell_length_a 5.055
_cell_length_b 11.249
_cell_length_c 21.462
_cell_angle_alpha 90.00
_cell_angle_beta 90.00
_cell_angle_gamma 90.00
loop_
_symmetry_equiv_pos_as_xyz
'x,y,z'
'-x,-y,-z'
'-x+1/4,-y+1/4,z'
'x+1/4,y+1/4,-z'
'x,-y+1/4,-z+1/4'
'-x,y+1/4,z+1/4'
'-x+1/4,y,-z+1/4'
'x+1/4,-y,z+1/4'
'x,y+1/2,z+1/2'
'-x,-y+1/2,-z+1/2'
'-x+1/4,-y+3/4,z+1/2'
'x+1/4,y+3/4,-z+1/2'
'x,-y+3/4,-z+3/4'
'-x,y+3/4,z+3/4'
'-x+1/4,y+1/2,-z+3/4'
'x+1/4,-y+1/2,z+3/4'
'x+1/2,y,z+1/2'
'-x+1/2,-y,-z+1/2'
'-x+3/4,-y+1/4,z+1/2'
'x+3/4,y+1/4,-z+1/2'
'x+1/2,-y+1/4,-z+3/4'
'-x+1/2,y+1/4,z+3/4'
'-x+3/4,y,-z+3/4'
'x+3/4,-y,z+3/4'
'x+1/2,y+1/2,z'
'-x+1/2,-y+1/2,-z'
'-x+3/4,-y+3/4,z'
'x+3/4,y+3/4,-z'
'x+1/2,-y+3/4,-z+1/4'
'-x+1/2,y+3/4,z+1/4'
'-x+3/4,y+1/2,-z+1/4'
'x+3/4,-y+1/2,z+1/4'
loop_
_atom_site_label
_atom_site_type_symbol
_atom_site_fract_x
_atom_site_fract_y
_atom_site_fract_z
K1 K 0.125 0.125 0.306
In1 In 0.125 0.125 0.125
B1 B 0.125 0.125 0.625
O1 O 0.050 0.294 0.835
```

=====

The following is a DFT calculation (PBE) of a geometry-optimized Ta2PtS4 structure.

Values from the calculation:
The uncorrected formation energy is 2.1 eV per formula unit. For the calculated volume, the calculation gives 279.4 Å³ per cell. Its final energy is -6.302 eV/atom.

Cell and atoms, written as CIF:
```
data_Ta2PtS4
_chemical_formula_sum 'Ta4 Pt2 S8'
_symmetry_space_group_name_H-M 'I 4/m m m'
_symmetry_Int_Tables_number 139
_symmetry_space_group_name_Hall '-I 4 2'
_cell_length_a 4.797
_cell_length_b 4.797
_cell_length_c 12.145
_cell_angle_alpha 90.00
_cell_angle_beta 90.00
_cell_angle_gamma 90.00
loop_
_atom_site_label
_atom_site_type_symbol
_atom_site_fract_x
_atom_site_fract_y
_atom_site_fract_z
Ta1 Ta 0.000 0.000 0.108
Pt1 Pt 0.000 0.000 0.500
S1 S 0.000 0.000 0.296
S2 S 0.000 0.500 0.000
```